Entry 1:
Computed, not measured: a geometry-optimized Y3Ag structure at the PBE level of DFT.

Unit cell a=3.7588 b=5.4187 c=5.4966 alpha=90.00 beta=90.00 gamma=90.00
With the nearest neighbours (Å) after each atom.
Sites, in units of the cell vectors:
Y  0.0000  0.0000  0.0000  4 Ag 3.30-3.36, 6 Y 3.33-3.61
Y  0.0000  0.5000  0.4330  6 Y 3.28-3.61, 4 Ag 3.32
Y  0.5000  0.5000  0.9216  8 Y 3.28-3.38, 2 Ag 3.54
Ag  0.5000  0.0000  0.5062  10 Y 3.30-3.54

Results
Formation enthalpy at 0 K in kJ/mol of atoms: 1.4
V in Å³/atom: 28.0
Size of the total moment in μB per formula unit: 0.00
Polymorph energy (0 for the lowest one) in meV per atom: 150
Crystal system: orthorhombic


Entry 2:
Computed, not measured: a geometry-optimized ZnSi2Mo structure at the PBE level of DFT.

Unit cell a=3.3656 b=3.3656 c=5.0459 alpha=90.00 beta=90.00 gamma=90.00
With the nearest neighbours (Å) after each atom.
Sites, in units of the cell vectors:
Zn  0.0000  0.0000  0.0000  6 Si 2.51-2.63, 4 Mo 2.80
Si  0.0000  0.0000  0.5022  2 Zn 2.51-2.53, 4 Mo 2.61, 4 Si 2.76
Si  0.5000  0.5000  0.7795  2 Mo 2.46-2.58, 4 Zn 2.63
Mo  0.5000  0.5000  0.2910  6 Si 2.46-2.61

Results
Raw formation energy in meV per atom: -101
V in Å³/atom: 14.3
Size of the total moment in μB per formula unit: 0.00
Crystal system: tetragonal


Number 1 is which compound?
Y3Ag